Crystalline KEuSbWO6 at its relaxed geometry, computed with GGA+U.

Cell lengths 5.957, 5.957, 5.957 Å; angles 60.00, 60.00, 60.00 degrees
Each line ends with the local moment (μB).
Sites, in units of the cell vectors:
Sb 0.000 0.000 0.000  0.00
O 0.732 0.732 0.268  -0.01
K 0.750 0.750 0.750  0.00
O 0.268 0.268 0.732  -0.01
O 0.268 0.732 0.268  -0.01
O 0.268 0.732 0.732  -0.01
Eu 0.250 0.250 0.250  6.87
O 0.732 0.268 0.732  -0.01
W 0.500 0.500 0.500  0.04
O 0.732 0.268 0.268  -0.01

Results
- Symmetry: F-43m (216)
- E_tot: -71.981 eV per cell